# 1
Material: Dy6NiBi2
Method: DFT, PBE
State: relaxed

Cell and atoms, written as POSCAR:
```
Dy6NiBi2
1.0
6.4398 0.0000 0.0000
0.0000 7.9571 0.0000
-6.1508 0.0000 10.1901
Dy Ni Bi
12 2 4
direct
0.1001 0.1898 0.4621
0.1001 0.3102 0.9621
0.3279 0.6819 0.4611
0.3279 0.8181 0.9611
0.3776 0.0222 0.2511
0.3776 0.4778 0.7511
0.6224 0.5222 0.2489
0.6224 0.9778 0.7489
0.6721 0.1819 0.0389
0.6721 0.3181 0.5389
0.8999 0.6898 0.0379
0.8999 0.8102 0.5379
0.5000 0.0000 0.5000
0.5000 0.5000 0.0000
0.1478 0.1125 0.7469
0.1478 0.3875 0.2469
0.8522 0.6125 0.7531
0.8522 0.8875 0.2531
```

Summary:
**Formation energy**: -0.4285 eV/atom
**Total moment**: 0.00 μB/f.u.
**Total DFT energy (no corrections)**: -5.001 eV/atom

=====

# 2
Material: NaLiSbCl2
Method: DFT, PBE
State: relaxed

Cell and atoms, written as POSCAR:
```
NaLiSbCl2
1.0
5.3165 0.0000 0.0000
0.0000 5.3165 0.0000
0.0000 0.0000 5.8855
Na Li Sb Cl
1 1 1 2
direct
0.0000 0.0000 0.0000
0.5000 0.5000 0.5000
0.0000 0.0000 0.5000
0.0000 0.5000 0.0000
0.5000 0.0000 0.0000
```

Summary:
**Total moment**: 3.00 μB/f.u.
**Total DFT energy (no corrections)**: -2.577 eV/atom
**Raw formation energy**: -177 kJ/mol of formula units

=====

# 3
Material: AcPr2Al
Method: DFT, PBE
State: relaxed

Cell and atoms, written as POSCAR:
```
AcPr2Al
1.0
2.6440 1.5265 5.6232
-2.6440 1.5265 5.6232
0.0000 -3.0530 5.6232
Ac Pr Al
1 2 1
direct
0.0000 0.0000 0.0000
0.2266 0.2266 0.2266
0.7734 0.7734 0.7734
0.5000 0.5000 0.5000
```

Summary:
**Formation energy**: 0.0535 eV/atom
**Total moment**: 0.00 μB/f.u.
**Total DFT energy (no corrections)**: -4.299 eV/atom
**Distance to the lowest polymorph of the same formula**: 18.6 kJ per mole of atoms